Entry 1:
Computed, not measured: a relaxed TiPCS2 crystal at the GGA-PBE level of DFT.

a b c (Å): 4.084 4.084 4.028
angles (deg): 90.00 90.00 90.00
Space group P4/mmm (No. 123)
Symmetry-distinct sites (fractional):
1 Ti 0.000 0.000 0.000
2 P 0.500 0.500 0.000
3 C 0.500 0.500 0.500
4 S 0.000 0.500 0.500

Summary:
Calculated total energy, eV per atom: -5.4363
V, Å³ per atom: 13.4
ΔE_f (raw), meV/atom: 720

=====

Entry 2:
Computed, not measured: a relaxed TiPCS2 crystal at the GGA-PBE level of DFT.

a b c (Å): 4.603 4.603 4.836
angles (deg): 90.00 90.00 90.00
Space group P4/mmm (No. 123)
Symmetry-distinct sites (fractional):
1 Ti 0.000 0.000 0.000
2 P 0.000 0.000 0.500
3 C 0.500 0.500 0.500
4 S 0.000 0.500 0.000

Summary:
Calculated total energy, eV per atom: -4.8736
V, Å³ per atom: 20.5
ΔE_f (raw), meV/atom: 1283

=====

Entry 3:
Computed, not measured: a relaxed Tm6PC2S3 crystal at the GGA-PBE level of DFT.

a b c (Å): 16.534 3.732 7.658
angles (deg): 90.00 104.33 90.00
Space group C2/m (No. 12)
Symmetry-distinct sites (fractional):
1 Tm 0.015 0.000 0.256
2 Tm 0.169 0.500 0.117
3 Tm 0.177 0.500 0.563
4 P 0.000 0.500 0.000
5 C 0.169 0.000 0.337
6 S 0.000 0.500 0.500
7 S 0.163 0.000 0.833

Summary:
Calculated total energy, eV per atom: -6.7550
V, Å³ per atom: 19.1
ΔE_f (raw), meV/atom: -1499

=====

Entry 4:
Computed, not measured: a relaxed Tm6P2CS3 crystal at the GGA-PBE level of DFT.

a b c (Å): 16.814 3.812 7.747
angles (deg): 90.00 103.58 90.00
Space group C2/m (No. 12)
Symmetry-distinct sites (fractional):
1 Tm 0.001 0.000 0.217
2 Tm 0.151 0.500 0.078
3 Tm 0.166 0.500 0.579
4 P 0.166 0.000 0.332
5 C 0.000 0.500 0.000
6 S 0.000 0.500 0.500
7 S 0.168 0.000 0.835

Summary:
Calculated total energy, eV per atom: -6.6035
V, Å³ per atom: 20.1
ΔE_f (raw), meV/atom: -1666

=====

Entry 5:
Computed, not measured: a relaxed Tm8P3CS3 crystal at the GGA-PBE level of DFT.

a b c (Å): 7.7146 7.7146 18.9099
angles (deg): 90.00 90.00 120.00
Space group R-3m (No. 166, hexagonal axes)
Symmetry-distinct sites (fractional):
1 Tm 0.0000 0.0000 0.2473
2 Tm 0.0291 0.5145 0.7443
3 P 0.0000 0.5000 0.5000
4 C 0.0000 0.0000 0.0000
5 S 0.0000 0.5000 0.0000

Summary:
Calculated total energy, eV per atom: -6.4309
V, Å³ per atom: 21.7
ΔE_f (raw), meV/atom: -1524

=====

Entry 6:
Computed, not measured: a relaxed U6P2C3S crystal at the GGA-PBE level of DFT.

a b c (Å): 16.303 3.679 7.507
angles (deg): 90.00 104.83 90.00
Space group C2/m (No. 12)
Symmetry-distinct sites (fractional):
1 U 0.008 0.000 0.231
2 U 0.159 0.500 0.104
3 U 0.174 0.500 0.564
4 P 0.167 0.000 0.834
5 C 0.000 0.500 0.000
6 C 0.167 0.000 0.335
7 S 0.000 0.500 0.500

Summary:
Calculated total energy, eV per atom: -9.7774
V, Å³ per atom: 18.1
ΔE_f (raw), meV/atom: -582

=====

Entry 7:
Computed, not measured: a relaxed U6PC3S2 crystal at the GGA-PBE level of DFT.

a b c (Å): 16.312 3.663 7.509
angles (deg): 90.00 105.40 90.00
Space group C2/m (No. 12)
Symmetry-distinct sites (fractional):
1 U 0.007 0.000 0.230
2 U 0.159 0.500 0.102
3 U 0.175 0.500 0.564
4 P 0.000 0.500 0.500
5 C 0.000 0.500 0.000
6 C 0.166 0.000 0.332
7 S 0.167 0.000 0.833

Summary:
Calculated total energy, eV per atom: -9.7584
V, Å³ per atom: 18.0
ΔE_f (raw), meV/atom: -670

=====

Entry 8:
Computed, not measured: a relaxed VP2CS crystal at the GGA-PBE level of DFT.

a b c (Å): 3.951 3.951 4.191
angles (deg): 90.00 90.00 90.00
Space group P4/mmm (No. 123)
Symmetry-distinct sites (fractional):
1 V 0.000 0.000 0.000
2 P 0.000 0.500 0.500
3 C 0.500 0.500 0.500
4 S 0.500 0.500 0.000

Summary:
Calculated total energy, eV per atom: -5.7000
V, Å³ per atom: 13.1
ΔE_f (raw), meV/atom: 958

=====

Entry 9:
Computed, not measured: a relaxed VP2CS crystal at the GGA-PBE level of DFT.

a b c (Å): 4.550 4.550 4.398
angles (deg): 90.00 90.00 90.00
Space group P4/mmm (No. 123)
Symmetry-distinct sites (fractional):
1 V 0.000 0.000 0.000
2 P 0.000 0.500 0.000
3 C 0.500 0.500 0.500
4 S 0.000 0.000 0.500

Summary:
Calculated total energy, eV per atom: -5.1541
V, Å³ per atom: 18.2
ΔE_f (raw), meV/atom: 1504

=====

Entry 10:
Computed, not measured: a relaxed Y6PC2S3 crystal at the GGA-PBE level of DFT.

a b c (Å): 6.616 11.445 6.766
angles (deg): 90.00 109.11 90.00
Space group C2/m (No. 12)
Symmetry-distinct sites (fractional):
1 Y 0.218 0.000 0.219
2 Y 0.249 0.178 0.780
3 P 0.000 0.500 0.000
4 C 0.000 0.167 0.000
5 S 0.000 0.000 0.500
6 S 0.000 0.339 0.500

Summary:
Calculated total energy, eV per atom: -7.7377
V, Å³ per atom: 20.2
ΔE_f (raw), meV/atom: -1486

=====

Entry 11:
Computed, not measured: a relaxed YPCS2 crystal at the GGA-PBE level of DFT.

a b c (Å): 4.562 4.562 3.830
angles (deg): 90.00 90.00 90.00
Space group P4/mmm (No. 123)
Symmetry-distinct sites (fractional):
1 Y 0.000 0.000 0.000
2 P 0.500 0.500 0.000
3 C 0.500 0.500 0.500
4 S 0.000 0.500 0.500

Summary:
Calculated total energy, eV per atom: -5.7122
V, Å³ per atom: 15.9
ΔE_f (raw), meV/atom: 158

=====

Entry 12:
Computed, not measured: a relaxed Y8P3CS4 crystal at the GGA-PBE level of DFT.

a b c (Å): 7.8451 7.8451 19.3310
angles (deg): 90.00 90.00 120.00
Space group R-3m (No. 166, hexagonal axes)
Symmetry-distinct sites (fractional):
1 Y 0.0000 0.0000 0.2474
2 Y 0.0193 0.5097 0.2430
3 P 0.0000 0.5000 0.5000
4 C 0.0000 0.0000 0.5000
5 S 0.0000 0.0000 0.0000
6 S 0.0000 0.5000 0.0000

Summary:
Calculated total energy, eV per atom: -7.5812
V, Å³ per atom: 21.5
ΔE_f (raw), meV/atom: -1726

=====

Entry 13:
Computed, not measured: a relaxed YPCS2 crystal at the GGA-PBE level of DFT.

a b c (Å): 5.209 5.209 5.474
angles (deg): 90.00 90.00 90.00
Space group P4/mmm (No. 123)
Symmetry-distinct sites (fractional):
1 Y 0.000 0.000 0.000
2 P 0.000 0.000 0.500
3 C 0.500 0.500 0.500
4 S 0.000 0.500 0.000

Summary:
Calculated total energy, eV per atom: -4.3467
V, Å³ per atom: 29.7
ΔE_f (raw), meV/atom: 1524

=====

Entry 14:
Computed, not measured: a relaxed Y8P3CS3 crystal at the GGA-PBE level of DFT.

a b c (Å): 7.8589 7.8589 19.2604
angles (deg): 90.00 90.00 120.00
Space group R-3m (No. 166, hexagonal axes)
Symmetry-distinct sites (fractional):
1 Y 0.0000 0.0000 0.2472
2 Y 0.0283 0.5142 0.7444
3 P 0.0000 0.5000 0.5000
4 C 0.0000 0.0000 0.0000
5 S 0.0000 0.5000 0.0000

Summary:
Calculated total energy, eV per atom: -7.5221
V, Å³ per atom: 22.9
ΔE_f (raw), meV/atom: -1552

=====

Entry 15:
Computed, not measured: a relaxed ZnPC2S crystal at the GGA-PBE level of DFT.

a b c (Å): 3.415 3.415 9.234
angles (deg): 90.00 90.00 90.00
Space group P4/mmm (No. 123)
Symmetry-distinct sites (fractional):
1 Zn 0.000 0.000 0.000
2 P 0.000 0.000 0.500
3 C 0.000 0.500 0.500
4 S 0.500 0.500 0.000

Summary:
Calculated total energy, eV per atom: -4.6264
V, Å³ per atom: 21.5
ΔE_f (raw), meV/atom: 1225

=====

Entry 16:
Computed, not measured: a relaxed Sb2PC crystal at the GGA-PBE level of DFT.

a b c (Å): 6.593 6.593 6.593
angles (deg): 90.00 90.00 90.00
Space group Fm-3m (No. 225)
Symmetry-distinct sites (fractional):
1 Sb 0.250 0.250 0.250
2 P 0.000 0.000 0.000
3 C 0.000 0.000 0.500

Summary:
Calculated total energy, eV per atom: -4.2876
V, Å³ per atom: 17.9
ΔE_f (raw), meV/atom: 1432

=====

Entry 17:
Computed, not measured: a relaxed SbP2C crystal at the GGA-PBE level of DFT.

a b c (Å): 6.329 6.329 6.329
angles (deg): 90.00 90.00 90.00
Space group Fm-3m (No. 225)
Symmetry-distinct sites (fractional):
1 Sb 0.000 0.000 0.000
2 P 0.250 0.250 0.250
3 C 0.000 0.000 0.500

Summary:
Calculated total energy, eV per atom: -4.2831
V, Å³ per atom: 15.8
ΔE_f (raw), meV/atom: 1758

=====

Entry 18:
Computed, not measured: a relaxed SbPC2 crystal at the GGA-PBE level of DFT.

a b c (Å): 5.835 5.835 5.835
angles (deg): 90.00 90.00 90.00
Space group Fm-3m (No. 225)
Symmetry-distinct sites (fractional):
1 Sb 0.000 0.000 0.000
2 P 0.000 0.000 0.500
3 C 0.250 0.250 0.250

Summary:
Calculated total energy, eV per atom: -4.6651
V, Å³ per atom: 12.4
ΔE_f (raw), meV/atom: 2330

=====

Entry 19:
Computed, not measured: a relaxed SbPC2 crystal at the GGA-PBE level of DFT.

a b c (Å): 5.266 5.266 7.665
angles (deg): 90.00 90.00 90.00
Space group I-42d (No. 122)
Symmetry-distinct sites (fractional):
1 Sb 0.000 0.000 0.000
2 P 0.000 0.000 0.500
3 C 0.142 0.250 0.625

Summary:
Calculated total energy, eV per atom: -5.9866
V, Å³ per atom: 13.3
ΔE_f (raw), meV/atom: 1008

=====

Entry 20:
Computed, not measured: a relaxed Sb2PC crystal at the GGA-PBE level of DFT.

a b c (Å): 6.334 6.334 8.389
angles (deg): 90.00 90.00 90.00
Space group I-42d (No. 122)
Symmetry-distinct sites (fractional):
1 Sb 0.196 0.750 0.125
2 P 0.000 0.000 0.500
3 C 0.000 0.000 0.000

Summary:
Calculated total energy, eV per atom: -4.8008
V, Å³ per atom: 21.0
ΔE_f (raw), meV/atom: 919

=====

Entry 21:
Computed, not measured: a relaxed Sb2PC4 crystal at the GGA-PBE level of DFT.

a b c (Å): 3.620 3.620 12.890
angles (deg): 90.00 90.00 90.00
Space group I4/mmm (No. 139)
Symmetry-distinct sites (fractional):
1 Sb 0.000 0.000 0.158
2 P 0.000 0.000 0.500
3 C 0.000 0.000 0.342
4 C 0.000 0.500 0.000

Summary:
Calculated total energy, eV per atom: -5.3226
V, Å³ per atom: 12.1
ΔE_f (raw), meV/atom: 1899

=====

Entry 22:
Computed, not measured: a relaxed Sb2P2C crystal at the GGA-PBE level of DFT.

a b c (Å): 6.378 6.378 5.504
angles (deg): 90.00 90.00 90.00
Space group P4/mbm (No. 127)
Symmetry-distinct sites (fractional):
1 Sb 0.178 0.322 0.000
2 P 0.113 0.387 0.500
3 C 0.000 0.000 0.000

Summary:
Calculated total energy, eV per atom: -4.5883
V, Å³ per atom: 22.4
ΔE_f (raw), meV/atom: 1069

=====

Entry 23:
Computed, not measured: a relaxed Sb3PC crystal at the GGA-PBE level of DFT.

a b c (Å): 4.752 4.752 4.752
angles (deg): 90.00 90.00 90.00
Space group Pm-3m (No. 221)
Symmetry-distinct sites (fractional):
1 Sb 0.000 0.000 0.500
2 P 0.500 0.500 0.500
3 C 0.000 0.000 0.000

Summary:
Calculated total energy, eV per atom: -4.2538
V, Å³ per atom: 21.5
ΔE_f (raw), meV/atom: 1146

=====

Entry 24:
Computed, not measured: a relaxed SbP2C crystal at the GGA-PBE level of DFT.

a b c (Å): 5.907 5.907 7.594
angles (deg): 90.00 90.00 90.00
Space group I-42d (No. 122)
Symmetry-distinct sites (fractional):
1 Sb 0.000 0.000 0.000
2 P 0.136 0.250 0.625
3 C 0.000 0.000 0.500

Summary:
Calculated total energy, eV per atom: -5.3145
V, Å³ per atom: 16.6
ΔE_f (raw), meV/atom: 727